No. 1
Computed, not measured: an optimized crystal structure of Cd2TeSe at the PBE level of DFT.

Raw formation energy (eV per atom): -0.376
M_tot (μB/f.u.): 0.0
Relative energy among the computed polymorphs (meV per atom): 162

abc: 4.0253 4.0253 6.9802
angles: 90.00 90.00 90.00
Space group P4mm (No. 99)
Unique sites:
Cd  0.0000  0.0000  0.0000 (multiplicity 1)
Cd  0.5000  0.5000  0.4633 (multiplicity 1)
Te  0.5000  0.5000  0.8769 (multiplicity 1)
Se  0.0000  0.0000  0.3829 (multiplicity 1)

---

No. 2
Computed, not measured: an optimized crystal structure of CdTeSe2 at the PBE level of DFT.

Raw formation energy (eV per atom): 0.104
M_tot (μB/f.u.): 0.0

abc: 3.9507 3.9507 28.6270
angles: 90.00 90.00 120.00
Space group R-3m (No. 166, hexagonal axes)
Unique sites:
Cd  0.0000  0.0000  0.0000 (multiplicity 3)
Te  0.0000  0.0000  0.5000 (multiplicity 3)
Se  0.0000  0.0000  0.1062 (multiplicity 6)

---

No. 3
Computed, not measured: an optimized crystal structure of CdTeSe2 at the PBE level of DFT.

Raw formation energy (eV per atom): -0.051
M_tot (μB/f.u.): 0.0

abc: 3.8258 3.8796 16.7983
angles: 90.00 90.00 90.00
Space group Imm2 (No. 44)
Unique sites:
Cd  0.0000  0.0000  0.0000 (multiplicity 2)
Te  0.0000  0.5000  0.2633 (multiplicity 2)
Se  0.0000  0.0000  0.4901 (multiplicity 2)
Se  0.0000  0.5000  0.7147 (multiplicity 2)

---

No. 4
Computed, not measured: an optimized crystal structure of CdTeSe2 at the PBE level of DFT.

Raw formation energy (eV per atom): 0.200
M_tot (μB/f.u.): 0.0

abc: 7.1974 7.1974 7.1974
angles: 90.00 90.00 90.00
Space group Fm-3m (No. 225)
Unique sites:
Cd  0.0000  0.0000  0.0000 (multiplicity 4)
Te  0.0000  0.0000  0.5000 (multiplicity 4)
Se  0.2500  0.2500  0.2500 (multiplicity 8)

---

No. 5
Computed, not measured: an optimized crystal structure of CdTeSe2 at the PBE level of DFT.

Raw formation energy (eV per atom): -0.069
M_tot (μB/f.u.): 0.0

abc: 4.2280 4.2280 20.1736
angles: 90.00 90.00 120.00
Space group R-3m (No. 166, hexagonal axes)
Unique sites:
Cd  0.0000  0.0000  0.0000 (multiplicity 3)
Te  0.0000  0.0000  0.5000 (multiplicity 3)
Se  0.0000  0.0000  0.2506 (multiplicity 6)

---

No. 6
Computed, not measured: an optimized crystal structure of Cd2TeSe at the PBE level of DFT.

Raw formation energy (eV per atom): -0.538
M_tot (μB/f.u.): 0.0
Relative energy among the computed polymorphs (meV per atom): 0

abc: 6.4101 6.4101 12.7753
angles: 90.00 90.00 90.00
Space group I-42d (No. 122)
Unique sites:
Cd  0.2291  0.2500  0.1250 (multiplicity 8)
Te  0.0000  0.0000  0.5000 (multiplicity 4)
Se  0.0000  0.0000  0.0000 (multiplicity 4)

---

No. 7
Computed, not measured: an optimized crystal structure of CdTeSe2 at the PBE level of DFT.

Raw formation energy (eV per atom): -0.123
M_tot (μB/f.u.): 0.0

abc: 12.4381 4.1873 4.1876
angles: 90.00 109.67 90.00
Space group Cm (No. 8)
Unique sites:
Cd  0.0000  0.0000  0.0000 (multiplicity 2)
Te  0.2571  0.0000  0.2596 (multiplicity 2)
Se  0.9996  0.5000  0.5011 (multiplicity 2)
Se  0.2622  0.5000  0.7648 (multiplicity 2)

---

No. 8
Computed, not measured: an optimized crystal structure of Cd2TeSe2 at the PBE level of DFT.

Raw formation energy (eV per atom): 0.000
M_tot (μB/f.u.): 2.0
Relative energy among the computed polymorphs (meV per atom): 97

abc: 4.6121 4.6121 13.5295
angles: 90.00 90.00 90.00
Space group I4/mmm (No. 139)
Unique sites:
Cd  0.0000  0.5000  0.2500 (multiplicity 4)
Te  0.0000  0.0000  0.0000 (multiplicity 2)
Se  0.0000  0.0000  0.3629 (multiplicity 4)

---

No. 9
Computed, not measured: an optimized crystal structure of Cd2TeSe at the PBE level of DFT.

Raw formation energy (eV per atom): -0.526
M_tot (μB/f.u.): 0.0
Relative energy among the computed polymorphs (meV per atom): 12

abc: 4.5294 4.5294 7.4091
angles: 90.00 90.00 120.00
Space group P3m1 (No. 156)
Unique sites:
Cd  0.0000  0.0000  0.0000 (multiplicity 1)
Cd  0.3333  0.6667  0.5298 (multiplicity 1)
Te  0.3333  0.6667  0.1431 (multiplicity 1)
Se  0.0000  0.0000  0.6375 (multiplicity 1)

---

No. 10
Computed, not measured: an optimized crystal structure of Cd2TeSe at the PBE level of DFT.

Raw formation energy (eV per atom): -0.291
M_tot (μB/f.u.): 0.0
Relative energy among the computed polymorphs (meV per atom): 247

abc: 4.1423 4.1423 21.5052
angles: 90.00 90.00 120.00
Space group R3m (No. 160, hexagonal axes)
Unique sites:
Cd  0.0000  0.0000  0.0000 (multiplicity 3)
Cd  0.0000  0.0000  0.1580 (multiplicity 3)
Te  0.0000  0.0000  0.5780 (multiplicity 3)
Se  0.0000  0.0000  0.7492 (multiplicity 3)

---

No. 11
Computed, not measured: an optimized crystal structure of Cd2TeSe at the PBE level of DFT.

Raw formation energy (eV per atom): 0.048
M_tot (μB/f.u.): 0.0
Relative energy among the computed polymorphs (meV per atom): 586

abc: 7.3456 7.3456 7.3456
angles: 90.00 90.00 90.00
Space group Fm-3m (No. 225)
Unique sites:
Cd  0.2500  0.2500  0.2500 (multiplicity 8)
Te  0.0000  0.0000  0.0000 (multiplicity 4)
Se  0.0000  0.0000  0.5000 (multiplicity 4)

---

No. 12
Computed, not measured: an optimized crystal structure of Cd2TeSe at the PBE level of DFT.

Raw formation energy (eV per atom): -0.121
M_tot (μB/f.u.): 0.0
Relative energy among the computed polymorphs (meV per atom): 417

abc: 4.5425 4.1623 5.8835
angles: 90.00 106.16 90.00
Space group P2/m (No. 10)
Unique sites:
Cd  0.2272  0.0000  0.2591 (multiplicity 2)
Te  0.5000  0.5000  0.0000 (multiplicity 1)
Se  0.0000  0.5000  0.5000 (multiplicity 1)

---

No. 13
Computed, not measured: an optimized crystal structure of Cd2TeSe at the PBE level of DFT.

Raw formation energy (eV per atom): -0.366
M_tot (μB/f.u.): 0.0
Relative energy among the computed polymorphs (meV per atom): 172

abc: 4.1824 4.1824 20.7215
angles: 90.00 90.00 120.00
Space group R-3m (No. 166, hexagonal axes)
Unique sites:
Cd  0.0000  0.0000  0.2444 (multiplicity 6)
Te  0.0000  0.0000  0.0000 (multiplicity 3)
Se  0.0000  0.0000  0.5000 (multiplicity 3)

---

No. 14
Computed, not measured: an optimized crystal structure of CdTeSe2 at the PBE level of DFT.

Raw formation energy (eV per atom): -0.003
M_tot (μB/f.u.): 0.0

abc: 3.9271 3.9470 8.4607
angles: 90.00 90.00 90.00
Space group Pmmm (No. 47)
Unique sites:
Cd  0.0000  0.0000  0.0000 (multiplicity 1)
Te  0.0000  0.5000  0.5000 (multiplicity 1)
Se  0.5000  0.0000  0.5000 (multiplicity 1)
Se  0.5000  0.5000  0.0000 (multiplicity 1)

---

No. 15
Computed, not measured: an optimized crystal structure of Cd2TeSe at the PBE level of DFT.

Raw formation energy (eV per atom): 0.104
M_tot (μB/f.u.): 0.0
Relative energy among the computed polymorphs (meV per atom): 642

abc: 3.8165 4.4403 6.4356
angles: 90.00 90.00 90.00
Space group Pmmm (No. 47)
Unique sites:
Cd  0.0000  0.0000  0.0000 (multiplicity 1)
Cd  0.5000  0.5000  0.0000 (multiplicity 1)
Te  0.0000  0.5000  0.5000 (multiplicity 1)
Se  0.5000  0.0000  0.5000 (multiplicity 1)

---

No. 16
Computed, not measured: an optimized crystal structure of Cd5TeSe4 at the PBE level of DFT.

Raw formation energy (eV per atom): -0.583
M_tot (μB/f.u.): 0.0

abc: 4.4418 4.4418 36.2883
angles: 90.00 90.00 120.00
Space group P3m1 (No. 156)
Unique sites:
Cd  0.0000  0.0000  0.0000 (multiplicity 1)
Cd  0.0000  0.0000  0.1950 (multiplicity 1)
Cd  0.0000  0.0000  0.3900 (multiplicity 1)
Cd  0.0000  0.0000  0.5853 (multiplicity 1)
Cd  0.0000  0.0000  0.7927 (multiplicity 1)
Cd  0.3333  0.6667  0.0976 (multiplicity 1)
Cd  0.3333  0.6667  0.2925 (multiplicity 1)
Cd  0.3333  0.6667  0.4876 (multiplicity 1)
Cd  0.3333  0.6667  0.6953 (multiplicity 1)
Cd  0.3333  0.6667  0.9027 (multiplicity 1)
Te  0.0000  0.0000  0.6642 (multiplicity 1)
Te  0.0000  0.0000  0.8715 (multiplicity 1)
Se  0.0000  0.0000  0.0741 (multiplicity 1)
Se  0.0000  0.0000  0.2692 (multiplicity 1)
Se  0.0000  0.0000  0.4643 (multiplicity 1)
Se  0.3333  0.6667  0.1717 (multiplicity 1)
Se  0.3333  0.6667  0.3667 (multiplicity 1)
Se  0.3333  0.6667  0.5618 (multiplicity 1)
Se  0.3333  0.6667  0.7691 (multiplicity 1)
Se  0.3333  0.6667  0.9765 (multiplicity 1)

---

No. 17
Computed, not measured: an optimized crystal structure of CdTeSe2 at the PBE level of DFT.

Raw formation energy (eV per atom): 0.093
M_tot (μB/f.u.): 0.0

abc: 3.9544 7.9347 7.8360
angles: 90.00 90.00 90.00
Space group Cmm2 (No. 35)
Unique sites:
Cd  0.0000  0.0000  0.0000 (multiplicity 2)
Te  0.0000  0.5000  0.2820 (multiplicity 2)
Se  0.0000  0.0000  0.5274 (multiplicity 2)
Se  0.0000  0.5000  0.7694 (multiplicity 2)

---

No. 18
Computed, not measured: an optimized crystal structure of Cd2TeSe at the PBE level of DFT.

Raw formation energy (eV per atom): 0.041
M_tot (μB/f.u.): 0.0
Relative energy among the computed polymorphs (meV per atom): 580

abc: 5.1900 5.1900 3.6708
angles: 90.00 90.00 90.00
Space group P4/mmm (No. 123)
Unique sites:
Cd  0.0000  0.5000  0.0000 (multiplicity 2)
Te  0.0000  0.0000  0.5000 (multiplicity 1)
Se  0.5000  0.5000  0.5000 (multiplicity 1)

---

No. 19
Computed, not measured: an optimized crystal structure of Cd2TeSe at the PBE level of DFT.

Raw formation energy (eV per atom): 0.140
M_tot (μB/f.u.): 0.0
Relative energy among the computed polymorphs (meV per atom): 678

abc: 7.3467 7.3467 7.3467
angles: 90.00 90.00 90.00
Space group F-43m (No. 216)
Unique sites:
Cd  0.0000  0.0000  0.0000 (multiplicity 4)
Cd  0.2500  0.2500  0.2500 (multiplicity 4)
Te  0.2500  0.2500  0.7500 (multiplicity 4)
Se  0.0000  0.0000  0.5000 (multiplicity 4)

---

No. 20
Computed, not measured: an optimized crystal structure of Cd2TeSe at the PBE level of DFT.

Raw formation energy (eV per atom): -0.527
M_tot (μB/f.u.): 0.0
Relative energy among the computed polymorphs (meV per atom): 11

abc: 4.5324 4.5324 22.1910
angles: 90.00 90.00 120.00
Space group R3m (No. 160, hexagonal axes)
Unique sites:
Cd  0.0000  0.0000  0.0000 (multiplicity 3)
Cd  0.0000  0.0000  0.4902 (multiplicity 3)
Te  0.0000  0.0000  0.6190 (multiplicity 3)
Se  0.0000  0.0000  0.1208 (multiplicity 3)